# 1
Compound: SrNbAl2
Source: Alexandria
Functional: PBE-GGA
Structure: optimized geometry

Results
**Energy**: -18.11 eV per formula unit
**Size of the total moment**: 4.58 Bohr magnetons per cell
**Calculated formation energy**: 282 meV per atom
**Energy above the lowest structure with this stoichiometry**: 0.00 eV per formula unit

a = 7.0392 Å, b = 7.0392 Å, c = 7.0392 Å
α = 90.00°, β = 90.00°, γ = 90.00°
Space group Fm-3m (No. 225)
Inequivalent atoms, fractional coordinates:
Sr 0.0000 0.0000 0.0000 (multiplicity 4)
Nb 0.0000 0.0000 0.5000 (multiplicity 4)
Al 0.2500 0.2500 0.2500 (multiplicity 8)

---

# 2
Compound: YMg2Cu3
Source: Alexandria
Functional: PBE-GGA
Structure: optimized geometry

Results
**Energy**: -22.89 eV per formula unit
**Size of the total moment**: 0.00 Bohr magnetons per cell
**Calculated formation energy**: -159 meV per atom
**Energy above the lowest structure with this stoichiometry**: 0.00 eV per formula unit

a = 4.5299 Å, b = 4.5299 Å, c = 12.1289 Å
α = 90.00°, β = 90.00°, γ = 120.00°
Space group P6_3/mmc (No. 194)
Inequivalent atoms, fractional coordinates:
Y 0.0000 0.0000 0.2500 (multiplicity 2)
Mg 0.3333 0.6667 0.0738 (multiplicity 4)
Cu 0.0000 0.0000 0.0000 (multiplicity 2)
Cu 0.3333 0.6667 0.6439 (multiplicity 4)

---

# 3
Compound: InP2RuCl
Source: Alexandria
Functional: PBE-GGA
Structure: optimized geometry

Results
**Energy**: -17.75 eV per formula unit
**Size of the total moment**: 2.84 Bohr magnetons per cell
**Energy above the lowest structure with this stoichiometry**: 6.09 eV per formula unit

a = 4.9095 Å, b = 4.9095 Å, c = 4.9513 Å
α = 90.00°, β = 90.00°, γ = 90.00°
Space group P4/mmm (No. 123)
Inequivalent atoms, fractional coordinates:
In 0.0000 0.0000 0.0000 (multiplicity 1)
P 0.0000 0.5000 0.0000 (multiplicity 2)
Ru 0.5000 0.5000 0.5000 (multiplicity 1)
Cl 0.0000 0.0000 0.5000 (multiplicity 1)

---

# 4
Compound: Pa4TiGe8
Source: Alexandria
Functional: PBE-GGA
Structure: optimized geometry

Results
**Energy**: -87.86 eV per formula unit
**Size of the total moment**: 0.77 Bohr magnetons per cell
**Calculated formation energy**: -388 meV per atom

a = 4.0877 Å, b = 4.1054 Å, c = 16.2710 Å
α = 90.00°, β = 90.00°, γ = 90.00°
Space group Pmm2 (No. 25)
Inequivalent atoms, fractional coordinates:
Pa 0.0000 0.0000 0.0000 (multiplicity 1)
Pa 0.0000 0.5000 0.4755 (multiplicity 1)
Pa 0.5000 0.0000 0.7853 (multiplicity 1)
Pa 0.5000 0.5000 0.2757 (multiplicity 1)
Ti 0.0000 0.5000 0.7012 (multiplicity 1)
Ge 0.0000 0.0000 0.3183 (multiplicity 1)
Ge 0.0000 0.0000 0.6082 (multiplicity 1)
Ge 0.0000 0.5000 0.1388 (multiplicity 1)
Ge 0.0000 0.5000 0.8541 (multiplicity 1)
Ge 0.5000 0.0000 0.1372 (multiplicity 1)
Ge 0.5000 0.0000 0.4320 (multiplicity 1)
Ge 0.5000 0.5000 0.6083 (multiplicity 1)
Ge 0.5000 0.5000 0.9555 (multiplicity 1)